No. 1
A plane-wave DFT calculation with PBE-GGA was carried out for a relaxed structure of BaY3Ru.

It has space group Cmcm (No. 63), with a = 6.984 Å, b = 14.598 Å, c = 6.149 Å, α = 90.00°, β = 90.00° and γ = 90.00°. The asymmetric unit holds Ba at (0.000, 0.086, 0.250), Y at (0.000, 0.500, 0.000), Y at (0.243, 0.314, 0.250) and Ru at (0.000, 0.324, 0.750).

The calculation puts the formation energy at 0.079 eV per atom. The volume comes out at 156.7 Å³/f.u. The value obtained for the calculated total energy is -6.04 eV/atom.


No. 2
A plane-wave DFT calculation with PBE-GGA was carried out for a relaxed structure of BaY3Ru.

It has space group P2_1/c (No. 14), with a = 9.519 Å, b = 6.934 Å, c = 12.364 Å, α = 90.00°, β = 124.87° and γ = 90.00°. The asymmetric unit holds Ba at (0.187, 0.170, 0.071), Y at (0.077, 0.584, 0.828), Y at (0.310, 0.669, 0.209), Y at (0.463, 0.242, 0.940) and Ru at (0.234, 0.563, 0.377).

The calculation puts the formation energy at -0.020 eV per atom. The volume comes out at 167.4 Å³/f.u. The value obtained for the calculated total energy is -6.14 eV/atom.


No. 3
A plane-wave DFT calculation with PBE-GGA was carried out for a relaxed structure of BaY3Ru.

It has space group C2/m (No. 12), with a = 14.075 Å, b = 3.922 Å, c = 12.111 Å, α = 90.00°, β = 93.03° and γ = 90.00°. The asymmetric unit holds Ba at (0.137, 0.000, 0.089), Y at (0.049, 0.000, 0.385), Y at (0.096, 0.500, 0.796), Y at (0.233, 0.000, 0.620) and Ru at (0.099, 0.500, 0.565).

The calculation puts the formation energy at -0.114 eV per atom. The volume comes out at 166.9 Å³/f.u. The value obtained for the calculated total energy is -6.23 eV/atom.


No. 4
A plane-wave DFT calculation with PBE-GGA was carried out for a relaxed structure of BaY3Ru.

It has space group I-4m2 (No. 119), with a = 5.734 Å, b = 5.734 Å, c = 25.134 Å, α = 90.00°, β = 90.00° and γ = 90.00°. The asymmetric unit holds Ba at (0.000, 0.000, 0.000), Ba at (0.000, 0.500, 0.250), Y at (0.000, 0.000, 0.291), Y at (0.000, 0.237, 0.143) and Ru at (0.000, 0.500, 0.702).

The calculation puts the formation energy at 0.893 eV per atom. The volume comes out at 206.6 Å³/f.u. The value obtained for the calculated total energy is -5.23 eV/atom.


No. 5
A plane-wave DFT calculation with PBE-GGA was carried out for a relaxed structure of BaY2Ru.

It has space group F-43m (No. 216), with a = 7.609 Å, b = 7.609 Å, c = 7.609 Å, α = 90.00°, β = 90.00° and γ = 90.00°. The asymmetric unit holds Ba at (0.000, 0.000, 0.000), Y at (0.000, 0.000, 0.500), Y at (0.250, 0.250, 0.750) and Ru at (0.250, 0.250, 0.250).

The calculation puts the formation energy at 0.510 eV per atom. The volume comes out at 110.1 Å³/f.u. The value obtained for the calculated total energy is -5.52 eV/atom.


No. 6
A plane-wave DFT calculation with PBE-GGA was carried out for a relaxed structure of BaY3Ru.

It has space group Pm (No. 6), with a = 8.983 Å, b = 4.044 Å, c = 9.712 Å, α = 90.00°, β = 90.25° and γ = 90.00°. The asymmetric unit holds Ba at (0.000, 0.000, 0.000), Ba at (0.499, 0.500, 0.090), Y at (0.178, 0.500, 0.677), Y at (0.306, 0.000, 0.411), Y at (0.492, 0.000, 0.740), Y at (0.677, 0.000, 0.414), Y at (0.807, 0.500, 0.679), Y at (0.990, 0.500, 0.351), Ru at (0.492, 0.500, 0.549) and Ru at (0.992, 0.000, 0.541).

The calculation puts the formation energy at -0.127 eV per atom. The volume comes out at 176.4 Å³/f.u. The value obtained for the calculated total energy is -6.25 eV/atom.


No. 7
A plane-wave DFT calculation with PBE-GGA was carried out for a relaxed structure of BaY2Ru.

It has space group Imm2 (No. 44), with a = 3.519 Å, b = 4.752 Å, c = 15.825 Å, α = 90.00°, β = 90.00° and γ = 90.00°. The asymmetric unit holds Ba at (0.000, 0.000, 0.000), Y at (0.000, 0.000, 0.321), Y at (0.000, 0.500, 0.175) and Ru at (0.000, 0.500, 0.685).

The calculation puts the formation energy at 0.067 eV per atom. The volume comes out at 132.3 Å³/f.u. The value obtained for the calculated total energy is -5.96 eV/atom.


No. 8
A plane-wave DFT calculation with PBE-GGA was carried out for a relaxed structure of BaY3Ru.

It has space group Imma (No. 74), with a = 7.817 Å, b = 11.091 Å, c = 7.832 Å, α = 90.00°, β = 90.00° and γ = 90.00°. The asymmetric unit holds Ba at (0.000, 0.250, 0.039), Y at (0.000, 0.250, 0.523), Y at (0.250, 0.011, 0.750) and Ru at (0.000, 0.000, 0.500).

The calculation puts the formation energy at -0.118 eV per atom. The volume comes out at 169.8 Å³/f.u. The value obtained for the calculated total energy is -6.24 eV/atom.


No. 9
A plane-wave DFT calculation with PBE-GGA was carried out for a relaxed structure of BaY3Ru.

It has space group P2_1/m (No. 11), with a = 6.663 Å, b = 7.109 Å, c = 6.981 Å, α = 90.00°, β = 90.53° and γ = 90.00°. The asymmetric unit holds Ba at (0.110, 0.250, 0.138), Y at (0.116, 0.750, 0.377), Y at (0.408, 0.006, 0.751) and Ru at (0.334, 0.750, 0.057).

The calculation puts the formation energy at -0.011 eV per atom. The volume comes out at 165.3 Å³/f.u. The value obtained for the calculated total energy is -6.13 eV/atom.


No. 10
A plane-wave DFT calculation with PBE-GGA was carried out for a relaxed structure of BaY2Ru.

It has space group P4/mmm (No. 123), with a = 3.505 Å, b = 3.505 Å, c = 10.116 Å, α = 90.00°, β = 90.00° and γ = 90.00°. The asymmetric unit holds Ba at (0.000, 0.000, 0.000), Y at (0.500, 0.500, 0.340) and Ru at (0.000, 0.000, 0.500).

The calculation puts the formation energy at -0.125 eV per atom. The volume comes out at 124.3 Å³/f.u. The value obtained for the calculated total energy is -6.16 eV/atom.


No. 11
A plane-wave DFT calculation with PBE-GGA was carried out for a relaxed structure of BaY2Ru2.

It has space group P4/mbm (No. 127), with a = 8.395 Å, b = 8.395 Å, c = 3.448 Å, α = 90.00°, β = 90.00° and γ = 90.00°. The asymmetric unit holds Ba at (0.000, 0.000, 0.000), Y at (0.140, 0.360, 0.500) and Ru at (0.147, 0.647, 0.000).

The calculation puts the formation energy at 0.017 eV per atom. The volume comes out at 121.5 Å³/f.u. The value obtained for the calculated total energy is -6.66 eV/atom.


No. 12
A plane-wave DFT calculation with PBE-GGA was carried out for a relaxed structure of BaY2Ru.

It has space group Pmm2 (No. 25), with a = 3.919 Å, b = 3.936 Å, c = 8.569 Å, α = 90.00°, β = 90.00° and γ = 90.00°. The asymmetric unit holds Ba at (0.000, 0.000, 0.000), Y at (0.000, 0.000, 0.396), Y at (0.500, 0.500, 0.639) and Ru at (0.500, 0.500, 0.323).

The calculation puts the formation energy at 0.095 eV per atom. The volume comes out at 132.2 Å³/f.u. The value obtained for the calculated total energy is -5.94 eV/atom.